First-principles (PBE-GGA) data for a relaxed ErTh2Sc7 crystal, as listed in Alexandria.

Summary:
- D(E_F) (states/eV per cell) = 35.51
- energy relative to the elements (eV per atom) = 0.211
- E above lowest polymorph (eV/f.u.) = 1.67

a = 6.140 Å, b = 27.062 Å, c = 3.267 Å
α = 90.00°, β = 90.00°, γ = 90.00°
Space group Cmmm (No. 65)
Symmetry-distinct sites (fractional):
Er 0.000 0.000 0.000
Th 0.000 0.200 0.500
Sc 0.000 0.309 0.000
Sc 0.000 0.500 0.500
Sc 0.248 0.400 0.500

=====

First-principles (PBE-GGA) data for a relaxed MgSi2Au crystal, as listed in Alexandria.

Summary:
- formation energy from raw total energies (eV/atom) = 0.163
- D(E_F) (states/eV per cell) = 1.39

a = 3.399 Å, b = 3.723 Å, c = 5.780 Å
α = 90.00°, β = 90.00°, γ = 90.00°
Space group Pmmm (No. 47)
Symmetry-distinct sites (fractional):
Mg 0.000 0.000 0.000
Si 0.500 0.500 0.293
Au 0.000 0.000 0.500

=====

First-principles (PBE-GGA) data for a relaxed CsPrI4 crystal, as listed in Alexandria.

Summary:
- formation energy from raw total energies (eV/atom) = -1.439
- E above lowest polymorph (eV/f.u.) = 0.00

a = 11.023 Å, b = 16.018 Å, c = 7.794 Å
α = 90.00°, β = 119.23°, γ = 90.00°
Space group C2/c (No. 15)
Symmetry-distinct sites (fractional):
Cs 0.000 0.136 0.250
Pr 0.000 0.500 0.250
I 0.102 0.345 0.571
I 0.240 0.063 0.820

=====

First-principles (PBE-GGA) data for a relaxed Pr2IrPd crystal, as listed in Alexandria.

Summary:
- D(E_F) (states/eV per cell) = 5.26
- energy relative to the elements (eV per atom) = -0.719
- E above lowest polymorph (eV/f.u.) = 0.00

a = 5.879 Å, b = 4.474 Å, c = 7.919 Å
α = 90.00°, β = 110.21°, γ = 90.00°
Space group P2_1/m (No. 11)
Symmetry-distinct sites (fractional):
Pr 0.218 0.250 0.437
Pr 0.229 0.250 0.925
Ir 0.331 0.750 0.710
Pd 0.326 0.750 0.206

=====

First-principles (PBE-GGA) data for a relaxed Pm5Cd2Rh2 crystal, as listed in Alexandria.

Summary:
- D(E_F) (states/eV per cell) = 24.63
- energy relative to the elements (eV per atom) = -0.463

a = 16.365 Å, b = 7.578 Å, c = 7.963 Å
α = 90.00°, β = 90.00°, γ = 90.00°
Space group Cmce (No. 64)
Symmetry-distinct sites (fractional):
Pm 0.000 0.000 0.000
Pm 0.119 0.172 0.324
Cd 0.217 0.000 0.000
Rh 0.000 0.130 0.631

=====

First-principles (PBE-GGA) data for a relaxed SrNdAgTe3 crystal, as listed in Alexandria.

Summary:
- formation energy from raw total energies (eV/atom) = -1.224

a = 9.175 Å, b = 4.487 Å, c = 10.073 Å
α = 90.00°, β = 103.44°, γ = 90.00°
Space group P2_1/m (No. 11)
Symmetry-distinct sites (fractional):
Sr 0.190 0.250 0.245
Nd 0.323 0.750 0.831
Ag 0.084 0.250 0.584
Te 0.091 0.250 0.869
Te 0.248 0.750 0.510
Te 0.429 0.750 0.161

=====

First-principles (PBE-GGA) data for a relaxed ScNi2Pt crystal, as listed in Alexandria.

Summary:
- D(E_F) (states/eV per cell) = 20.84
- energy relative to the elements (eV per atom) = -0.069

a = 2.8522 Å, b = 2.8522 Å, c = 24.9644 Å
α = 90.00°, β = 90.00°, γ = 120.00°
Space group R3m (No. 160, hexagonal axes)
Symmetry-distinct sites (fractional):
Sc 0.0000 0.0000 0.0000
Ni 0.0000 0.0000 0.4910
Ni 0.0000 0.0000 0.7489
Pt 0.0000 0.0000 0.2431

=====

First-principles (PBE-GGA) data for a relaxed MgNbOs2 crystal, as listed in Alexandria.

Summary:
- D(E_F) (states/eV per cell) = 3.50
- energy relative to the elements (eV per atom) = -0.072

a = 3.181 Å, b = 3.181 Å, c = 6.247 Å
α = 90.00°, β = 90.00°, γ = 90.00°
Space group P4/mmm (No. 123)
Symmetry-distinct sites (fractional):
Mg 0.000 0.000 0.000
Nb 0.000 0.000 0.500
Os 0.500 0.500 0.256

=====

First-principles (PBE-GGA) data for a relaxed Pr2Dy3Te6 crystal, as listed in Alexandria.

Summary:
- formation energy from raw total energies (eV/atom) = -1.430
- D(E_F) (states/eV per cell) = 10.55

a = 7.639 Å, b = 13.163 Å, c = 7.660 Å
α = 90.00°, β = 109.51°, γ = 90.00°
Space group C2/m (No. 12)
Symmetry-distinct sites (fractional):
Pr 0.000 0.164 0.000
Dy 0.000 0.000 0.500
Dy 0.000 0.329 0.500
Te 0.235 0.500 0.742
Te 0.244 0.340 0.254

=====

First-principles (PBE-GGA) data for a relaxed SiI2O crystal, as listed in Alexandria.

Summary:
- formation energy from raw total energies (eV/atom) = 0.804
- D(E_F) (states/eV per cell) = 19.18
- E above lowest polymorph (eV/f.u.) = 0.93

a = 6.941 Å, b = 6.941 Å, c = 6.941 Å
α = 90.00°, β = 90.00°, γ = 90.00°
Space group Fm-3m (No. 225)
Symmetry-distinct sites (fractional):
Si 0.000 0.000 0.000
I 0.250 0.250 0.250
O 0.000 0.000 0.500

=====

First-principles (PBE-GGA) data for a relaxed K2SbP crystal, as listed in Alexandria.

Summary:
- formation energy from raw total energies (eV/atom) = 0.191
- D(E_F) (states/eV per cell) = 12.31
- E above lowest polymorph (eV/f.u.) = 2.14

a = 7.932 Å, b = 7.932 Å, c = 7.932 Å
α = 90.00°, β = 90.00°, γ = 90.00°
Space group Fm-3m (No. 225)
Symmetry-distinct sites (fractional):
K 0.250 0.250 0.250
Sb 0.000 0.000 0.000
P 0.000 0.000 0.500

=====

First-principles (PBE-GGA) data for a relaxed Tb2ThAu crystal, as listed in Alexandria.

Summary:
- D(E_F) (states/eV per cell) = 18.43
- energy relative to the elements (eV per atom) = -0.239
- E above lowest polymorph (eV/f.u.) = 0.69

a = 3.6951 Å, b = 3.6951 Å, c = 30.0602 Å
α = 90.00°, β = 90.00°, γ = 120.00°
Space group R3m (No. 160, hexagonal axes)
Symmetry-distinct sites (fractional):
Tb 0.0000 0.0000 0.0000
Tb 0.0000 0.0000 0.1943
Th 0.0000 0.0000 0.4312
Au 0.0000 0.0000 0.5968

=====

| no. | M_tot (μB/f.u.) |
| --- | --- |
| 1 | 0.07 |
| 2 | 0.00 |
| 3 | 0.00 |
| 4 | 0.00 |
| 5 | 0.00 |
| 6 | 0.00 |
| 7 | 0.51 |
| 8 | 0.00 |
| 9 | 0.00 |
| 10 | 0.00 |
| 11 | 0.00 |
| 12 | 0.00 |